# YThCdAg, relaxed, DFT PBE-GGA
# Fermi-level density of states, states/eV per cell: 3.29
# Density, g cm⁻³: 8.5
# SG: F-43m, No. 216
# Formation energy from the elements, eV/atom: -0.1493
data_YThCdAg
_space_group_name_H-M_alt 'P 1'
_space_group_IT_number 1
_space_group_name_Hall 'P 1'
_cell_length_a 5.3151
_cell_length_b 5.3151
_cell_length_c 5.3151
_cell_angle_alpha 60.00
_cell_angle_beta 60.00
_cell_angle_gamma 60.00
loop_
_atom_site_label
_atom_site_type_symbol
_atom_site_fract_x
_atom_site_fract_y
_atom_site_fract_z
Y1 Y 0.7500 0.7500 0.7500
Th1 Th 0.2500 0.2500 0.2500
Cd1 Cd 0.5000 0.5000 0.5000
Ag1 Ag 0.0000 0.0000 0.0000